[1]
Density functional theory data (meta-GGA SCAN) for a crystal of CoRh relaxed with PBEsol.

The space group is P4/nmm (No. 129, origin choice 2) and the conventional cell measures 2.6126, 2.6126 and 7.0333 Å, with angles of 90.00, 90.00 and 90.00 degrees. The inequivalent atoms are Co at (0.2500, 0.2500, 0.1104) and Rh at (0.2500, 0.2500, 0.6361).

Its formation enthalpy at 0 K is 0.067 eV/atom. The calculated total energy is -50.94 eV per formula unit.



[2]
Density functional theory data (meta-GGA SCAN) for a crystal of InFeIr2 relaxed with PBEsol.

The space group is R3m (No. 160, hexagonal axes) and the conventional cell measures 2.7865, 2.7865 and 26.1294 Å, with angles of 90.00, 90.00 and 120.00 degrees. The inequivalent atoms are In at (0.0000, 0.0000, 0.0000), Fe at (0.0000, 0.0000, 0.7511), Ir at (0.0000, 0.0000, 0.2441) and Ir at (0.0000, 0.0000, 0.4931).

Its formation enthalpy at 0 K is 0.227 eV/atom. The calculated total energy is -192.80 eV per formula unit.



[3]
Density functional theory data (meta-GGA SCAN) for a crystal of BiWAu3 relaxed with PBEsol.

The space group is Pm-3m (No. 221) and the conventional cell measures 4.9727, 4.9727 and 4.9727 Å, with angles of 90.00, 90.00 and 90.00 degrees. The inequivalent atoms are Bi at (0.0000, 0.0000, 0.0000), W at (0.5000, 0.5000, 0.5000) and Au at (0.0000, 0.5000, 0.5000).

Its formation enthalpy at 0 K is 1.028 eV/atom. The calculated total energy is -350.60 eV per formula unit.



[4]
Density functional theory data (meta-GGA SCAN) for a crystal of Rb3GaBi relaxed with PBEsol.

The space group is Pm-3m (No. 221) and the conventional cell measures 7.0310, 7.0310 and 7.0310 Å, with angles of 90.00, 90.00 and 90.00 degrees. The inequivalent atoms are Rb at (0.0000, 0.0000, 0.5000), Ga at (0.5000, 0.5000, 0.5000) and Bi at (0.0000, 0.0000, 0.0000).

Its formation enthalpy at 0 K is 0.253 eV/atom. The calculated total energy is -155.88 eV per formula unit.



[5]
Density functional theory data (meta-GGA SCAN) for a crystal of BaFe2Tc relaxed with PBEsol.

The space group is R-3m (No. 166, hexagonal axes) and the conventional cell measures 4.1017, 4.1017 and 17.3584 Å, with angles of 90.00, 90.00 and 120.00 degrees. The inequivalent atoms are Ba at (0.0000, 0.0000, 0.0000), Fe at (0.0000, 0.0000, 0.1879) and Tc at (0.0000, 0.0000, 0.5000).

The energy above the most stable polymorph in this dataset comes out at 0.0000 eV/atom. Its formation enthalpy at 0 K is 0.496 eV/atom. The calculated total energy is -108.88 eV per formula unit.



[6]
Density functional theory data (meta-GGA SCAN) for a crystal of SrLiRe2 relaxed with PBEsol.

The space group is Cmmm (No. 65) and the conventional cell measures 3.4890, 3.9703 and 9.7902 Å, with angles of 90.00, 90.00 and 90.00 degrees. The inequivalent atoms are Sr at (0.0000, 0.0000, 0.0000), Li at (0.0000, 0.0000, 0.5000) and Re at (0.0000, 0.5000, 0.2752).

The energy above the most stable polymorph in this dataset comes out at 0.1577 eV/atom. Its formation enthalpy at 0 K is 0.895 eV/atom. The calculated total energy is -163.28 eV per formula unit.



[7]
Density functional theory data (meta-GGA SCAN) for a crystal of KCd2Au2 relaxed with PBEsol.

The space group is P4/mbm (No. 127) and the conventional cell measures 8.6267, 8.6267 and 2.8706 Å, with angles of 90.00, 90.00 and 90.00 degrees. The inequivalent atoms are K at (0.0000, 0.0000, 0.0000), Cd at (0.1276, 0.3724, 0.5000) and Au at (0.1680, 0.6680, 0.0000).

The energy above the most stable polymorph in this dataset comes out at 0.0356 eV/atom. Its formation enthalpy at 0 K is -0.293 eV/atom. The calculated total energy is -208.93 eV per formula unit.



[8]
Density functional theory data (meta-GGA SCAN) for a crystal of Ca3ZnCr relaxed with PBEsol.

The space group is Pm-3m (No. 221) and the conventional cell measures 5.5181, 5.5181 and 5.5181 Å, with angles of 90.00, 90.00 and 90.00 degrees. The inequivalent atoms are Ca at (0.0000, 0.0000, 0.5000), Zn at (0.5000, 0.5000, 0.5000) and Cr at (0.0000, 0.0000, 0.0000).

Its formation enthalpy at 0 K is 0.620 eV/atom. The calculated total energy is -57.79 eV per formula unit.



[9]
Density functional theory data (meta-GGA SCAN) for a crystal of InCoOs2F relaxed with PBEsol.

The space group is P4/mmm (No. 123) and the conventional cell measures 4.9171, 4.9171 and 4.6692 Å, with angles of 90.00, 90.00 and 90.00 degrees. The inequivalent atoms are In at (0.0000, 0.0000, 0.0000), Co at (0.0000, 0.0000, 0.5000), Os at (0.0000, 0.5000, 0.0000) and F at (0.5000, 0.5000, 0.5000).

As for the energy relative to the elements, uncorrected: 2.47 eV/atom. The calculated total energy is -185.62 eV per formula unit.



[10]
Density functional theory data (meta-GGA SCAN) for a crystal of YSiSe2 relaxed with PBEsol.

The space group is Pm (No. 6) and the conventional cell measures 3.9667, 3.9953 and 5.6177 Å, with angles of 90.00, 110.66 and 90.00 degrees. The inequivalent atoms are Y at (0.0000, 0.0000, 0.0000), Si at (0.8042, 0.5000, 0.6120), Se at (0.2977, 0.0000, 0.5963) and Se at (0.5823, 0.5000, 0.1648).

The energy above the most stable polymorph in this dataset comes out at 0.0000 eV/atom. As for the energy relative to the elements, uncorrected: -1.06 eV/atom. The calculated total energy is -82.24 eV per formula unit.



[11]
Density functional theory data (meta-GGA SCAN) for a crystal of Zn3Fe relaxed with PBEsol.

The space group is C2/m (No. 12) and the conventional cell measures 8.7329, 2.6131 and 4.5519 Å, with angles of 90.00, 101.68 and 90.00 degrees. The inequivalent atoms are Zn at (0.0000, 0.0000, 0.0000), Zn at (0.2468, 0.0000, 0.7389) and Fe at (0.0000, 0.5000, 0.5000).

Its formation enthalpy at 0 K is 0.015 eV/atom. The calculated total energy is -58.62 eV per formula unit.



[12]
Density functional theory data (meta-GGA SCAN) for a crystal of YMgFe3 relaxed with PBEsol.

The space group is Pm-3m (No. 221) and the conventional cell measures 4.4823, 4.4823 and 4.4823 Å, with angles of 90.00, 90.00 and 90.00 degrees. The inequivalent atoms are Y at (0.0000, 0.0000, 0.0000), Mg at (0.5000, 0.5000, 0.5000) and Fe at (0.0000, 0.5000, 0.5000).

Its formation enthalpy at 0 K is 1.010 eV/atom. The calculated total energy is -82.15 eV per formula unit.



[13]
Density functional theory data (meta-GGA SCAN) for a crystal of CrTc2Ni relaxed with PBEsol.

The space group is R3m (No. 160, hexagonal axes) and the conventional cell measures 2.6263, 2.6263 and 25.3914 Å, with angles of 90.00, 90.00 and 120.00 degrees. The inequivalent atoms are Cr at (0.0000, 0.0000, 0.0000), Tc at (0.0000, 0.0000, 0.5044), Tc at (0.0000, 0.0000, 0.7520) and Ni at (0.0000, 0.0000, 0.2559).

The energy above the most stable polymorph in this dataset comes out at 0.2126 eV/atom. Its formation enthalpy at 0 K is 0.227 eV/atom. The calculated total energy is -103.77 eV per formula unit.



[14]
Density functional theory data (meta-GGA SCAN) for a crystal of CaB6 relaxed with PBEsol.

The space group is Pm-3m (No. 221) and the conventional cell measures 4.1299, 4.1299 and 4.1299 Å, with angles of 90.00, 90.00 and 90.00 degrees. The inequivalent atoms are Ca at (0.0000, 0.0000, 0.0000) and B at (0.2015, 0.5000, 0.5000).

Its formation enthalpy at 0 K is -0.482 eV/atom. The calculated total energy is -57.61 eV per formula unit.



[15]
Density functional theory data (meta-GGA SCAN) for a crystal of LaInAg2Ge relaxed with PBEsol.

The space group is P4/mmm (No. 123) and the conventional cell measures 4.7975, 4.7975 and 5.3928 Å, with angles of 90.00, 90.00 and 90.00 degrees. The inequivalent atoms are La at (0.0000, 0.0000, 0.0000), In at (0.5000, 0.5000, 0.0000), Ag at (0.0000, 0.5000, 0.5000) and Ge at (0.5000, 0.5000, 0.5000).

Its formation enthalpy at 0 K is -0.035 eV/atom. The calculated total energy is -158.49 eV per formula unit.



[16]
Density functional theory data (meta-GGA SCAN) for a crystal of AgPt2 relaxed with PBEsol.

The space group is P-3m1 (No. 164) and the conventional cell measures 2.7522, 2.7522 and 7.0104 Å, with angles of 90.00, 90.00 and 120.00 degrees. The inequivalent atoms are Ag at (0.0000, 0.0000, 0.0000) and Pt at (0.3333, 0.6667, 0.6657).

The energy above the most stable polymorph in this dataset comes out at 0.0135 eV/atom. Its formation enthalpy at 0 K is 0.012 eV/atom. The calculated total energy is -171.72 eV per formula unit.



[17]
Density functional theory data (meta-GGA SCAN) for a crystal of Na2SrMgP2O8 relaxed with PBEsol.

The space group is C2/c (No. 15) and the conventional cell measures 9.0754, 5.2993 and 13.5013 Å, with angles of 90.00, 90.03 and 90.00 degrees. The inequivalent atoms are Na at (0.1674, 0.0253, 0.0898), Sr at (0.0000, 0.4371, 0.7500), Mg at (0.0000, 0.5000, 0.0000), P at (0.1676, 0.0209, 0.3671), O at (0.0706, 0.2561, 0.3890), O at (0.1014, 0.2108, 0.9225), O at (0.1734, 0.0379, 0.7563) and O at (0.1754, 0.4318, 0.5913).

As for the energy relative to the elements, uncorrected: -2.86 eV/atom. The calculated total energy is -146.43 eV per formula unit.



[18]
Density functional theory data (meta-GGA SCAN) for a crystal of In2SbIr relaxed with PBEsol.

The space group is P2/m (No. 10) and the conventional cell measures 4.4094, 3.7135 and 5.3934 Å, with angles of 90.00, 109.51 and 90.00 degrees. The inequivalent atoms are In at (0.0000, 0.0000, 0.0000), In at (0.5000, 0.5000, 0.0000), Sb at (0.0000, 0.5000, 0.5000) and Ir at (0.5000, 0.0000, 0.5000).

As for the energy relative to the elements, uncorrected: 0.30 eV/atom. The calculated total energy is -173.93 eV per formula unit.



[19]
Density functional theory data (meta-GGA SCAN) for a crystal of LaTe2Au2 relaxed with PBEsol.

The space group is I4/mmm (No. 139) and the conventional cell measures 4.0337, 4.0337 and 15.2809 Å, with angles of 90.00, 90.00 and 90.00 degrees. The inequivalent atoms are La at (0.0000, 0.0000, 0.0000), Te at (0.0000, 0.0000, 0.3942) and Au at (0.0000, 0.5000, 0.2500).

As for the energy relative to the elements, uncorrected: -0.64 eV/atom. The calculated total energy is -259.13 eV per formula unit.



[20]
Density functional theory data (meta-GGA SCAN) for a crystal of CaSiAu2 relaxed with PBEsol.

The space group is C2/m (No. 12) and the conventional cell measures 5.8447, 9.7526 and 2.9539 Å, with angles of 90.00, 117.84 and 90.00 degrees. The inequivalent atoms are Ca at (0.0000, 0.0000, 0.0000), Si at (0.0000, 0.5000, 0.0000) and Au at (0.2500, 0.2500, 0.5000).

As for the energy relative to the elements, uncorrected: -0.13 eV/atom. The calculated total energy is -158.51 eV per formula unit.



| no. | total magnetic moment (μB per atom) |
| --- | --- |
| 1 | 1.27 |
| 2 | 0.59 |
| 3 | 0.00 |
| 4 | 0.20 |
| 5 | 1.07 |
| 6 | 0.00 |
| 7 | 0.00 |
| 8 | 0.81 |
| 9 | 1.36 |
| 10 | 0.00 |
| 11 | 0.60 |
| 12 | 1.42 |
| 13 | 0.00 |
| 14 | 0.00 |
| 15 | 0.00 |
| 16 | 0.00 |
| 17 | 0.00 |
| 18 | 0.00 |
| 19 | 0.00 |
| 20 | 0.00 |